Entry 1:
Ca2AlSn | PBE-GGA | relaxed

- Space group: No. 123

Cell: 3.806 3.806 7.468 Å, 90.00 90.00 90.00°
Element x y z (fractional)
Ca: 0.000 0.000 0.243
Ca: 0.000 0.000 0.757
Al: 0.500 0.500 0.000
Sn: 0.500 0.500 0.500

Entry 2:
La3Dy3PuTe8 | PBE-GGA | relaxed

- ΔE_f (raw): -1.4266 eV per atom
- Space group: No. 166

Cell: 8.954 8.954 8.954 Å, 59.31 59.31 59.31°
Element x y z (fractional)
La: 0.000 0.500 0.500
La: 0.500 0.000 0.500
La: 0.500 0.500 0.000
Dy: 0.000 0.000 0.500
Dy: 0.000 0.500 0.000
Dy: 0.500 0.000 0.000
Pu: 0.500 0.500 0.500
Te: 0.235 0.754 0.754
Te: 0.245 0.245 0.245
Te: 0.246 0.246 0.765
Te: 0.246 0.765 0.246
Te: 0.754 0.235 0.754
Te: 0.754 0.754 0.235
Te: 0.755 0.755 0.755
Te: 0.765 0.246 0.246

Entry 3:
ZnSiTe2 | PBE-GGA | relaxed

- ΔE_f (raw): 0.2839 eV per atom
- Space group: No. 65
- Energy above the most stable polymorph in this dataset: 289 meV/atom

Cell: 4.740 4.740 7.715 Å, 90.00 90.00 131.56°
Element x y z (fractional)
Zn: 0.000 0.000 0.000
Si: 0.000 0.000 0.500
Te: 0.500 0.500 0.255
Te: 0.500 0.500 0.745

Entry 4:
ZrCu | PBE-GGA | relaxed

- Space group: No. 11

Cell: 3.217 4.337 10.199 Å, 90.00 96.88 90.00°
Element x y z (fractional)
Zr: 0.023 0.250 0.108
Zr: 0.164 0.750 0.398
Zr: 0.836 0.250 0.602
Zr: 0.977 0.750 0.892
Cu: 0.382 0.750 0.675
Cu: 0.450 0.250 0.836
Cu: 0.550 0.750 0.164
Cu: 0.618 0.250 0.325

Number 1: calculated total energy -13.3 eV per cell, N(E_F) 1.3 states/eV/f.u.. Number 2: calculated total energy -89.5 eV per cell, N(E_F) 20.2 states/eV/f.u.. Number 3: calculated total energy -11.8 eV per cell, N(E_F) 1.0 states/eV/f.u.. Number 4: calculated total energy -51.4 eV per cell, N(E_F) 2.0 states/eV/f.u..